# 1
The following is a PBE-GGA calculation of GaAs2Pd2 after structural relaxation, from OQMD.

Results
ΔE to the lowest computed polymorph = 0.000 eV per atom
E_tot = -23.49 eV for the cell shown
calculated volume = 98 Å³/cell

Cell lengths 6.088, 6.088, 6.088 Å; angles 138.47, 138.47, 60.18 degrees
Fractional positions:
1 As 0.376 0.376 0.000
2 As 0.624 0.624 0.000
3 Ga 0.000 0.000 0.000
4 Pd 0.750 0.250 0.500
5 Pd 0.250 0.750 0.500

# 2
The following is a PBE-GGA calculation of GaAs2Pd2 after structural relaxation, from OQMD.

Results
ΔE to the lowest computed polymorph = 0.135 eV per atom
E_tot = -22.81 eV for the cell shown
calculated volume = 100 Å³/cell

Cell lengths 4.235, 4.235, 6.320 Å; angles 109.57, 109.57, 90.00 degrees
Fractional positions:
1 As 0.750 0.250 0.500
2 As 0.250 0.750 0.500
3 Ga 0.000 0.000 0.000
4 Pd 0.622 0.622 0.244
5 Pd 0.378 0.378 0.756

# 3
The following is a PBE-GGA calculation of PrGaAsPd2 after structural relaxation, from OQMD.

Results
ΔE to the lowest computed polymorph = 0.085 eV per atom
E_tot = -53.84 eV for the cell shown
calculated volume = 200 Å³/cell

Cell lengths 4.558, 4.558, 9.613 Å; angles 90.00, 90.00, 90.00 degrees
Fractional positions:
1 As 0.000 0.000 0.000
2 As 0.500 0.500 0.000
3 Ga 0.500 0.000 0.381
4 Ga 0.000 0.500 0.619
5 Pd 0.500 0.000 0.121
6 Pd 0.000 0.000 0.500
7 Pd 0.500 0.500 0.500
8 Pd 0.000 0.500 0.879
9 Pr 0.000 0.500 0.242
10 Pr 0.500 0.000 0.758

# 4
The following is a PBE-GGA calculation of PrGaAsPd2 after structural relaxation, from OQMD.

Results
ΔE to the lowest computed polymorph = 0.000 eV per atom
E_tot = -54.68 eV for the cell shown
calculated volume = 195 Å³/cell

Cell lengths 4.341, 4.341, 10.354 Å; angles 90.00, 90.00, 90.00 degrees
Fractional positions:
1 As 0.000 0.500 0.362
2 As 0.500 0.000 0.638
3 Ga 0.000 0.000 0.000
4 Ga 0.500 0.500 0.000
5 Pd 0.000 0.500 0.126
6 Pd 0.000 0.000 0.500
7 Pd 0.500 0.500 0.500
8 Pd 0.500 0.000 0.874
9 Pr 0.500 0.000 0.260
10 Pr 0.000 0.500 0.740

# 5
The following is a PBE-GGA calculation of PmGaAs after structural relaxation, from OQMD.

Results
E_tot = -13.51 eV for the cell shown
calculated volume = 76 Å³/cell

Cell lengths 4.761, 4.761, 4.761 Å; angles 60.00, 60.00, 60.00 degrees
Fractional positions:
1 As 0.250 0.250 0.250
2 Ga 0.000 0.000 0.000
3 Pm 0.750 0.750 0.750

# 6
The following is a PBE-GGA calculation of PrGaAs after structural relaxation, from OQMD.

Results
ΔE to the lowest computed polymorph = 0.043 eV per atom
E_tot = -13.46 eV for the cell shown
calculated volume = 85 Å³/cell

Cell lengths 4.942, 4.942, 4.942 Å; angles 60.00, 60.00, 60.00 degrees
Fractional positions:
1 As 0.250 0.250 0.250
2 Ga 0.750 0.750 0.750
3 Pr 0.000 0.000 0.000